# NaSrSn2W

A geometry-optimized NaSrSn2W structure (GGA-PBE, the Alexandria database).

Properties
Total magnetic moment (μB per atom): 0.749
DOS(E_F) (states/eV per cell): 3.33
Final energy (eV per atom): -3.640
Formation enthalpy at 0 K (meV/atom): 1152

abc: 5.3753 5.2297 5.3753
angles: 90.00 90.00 90.00
Closest atoms and distances in Å follow each position.
Fractional positions:
1 W 0.0000 0.5000 0.0000  2 Na 2.61
2 Sn 0.0000 0.0000 0.5000  2 Na 2.69
3 Sn 0.5000 0.0000 0.0000  2 Na 2.69
4 Na 0.0000 0.0000 0.0000  2 W 2.61, 4 Sn 2.69
5 Sr 0.5000 0.5000 0.5000  8 Sn 3.75, 4 W 3.80

=====

# POsW2

A geometry-optimized POsW2 structure (GGA-PBE, the Alexandria database).

Properties
Total magnetic moment (μB per atom): 0.000
DOS(E_F) (states/eV per cell): 3.23
Final energy (eV per atom): -10.574
Formation enthalpy at 0 K (meV/atom): 62

abc: 2.8971 2.8971 6.9426
angles: 90.00 90.00 90.00
Closest atoms and distances in Å follow each position.
Fractional positions:
1 W 0.0000 0.0000 0.9594  4 P 2.51
2 W 0.5000 0.5000 0.2608  4 Os 2.77, 8 W 2.90-2.93
3 Os 0.0000 0.0000 0.5286  4 P 2.57, 4 W 2.77
4 P 0.5000 0.5000 0.7512  4 W 2.51, 4 Os 2.57

=====

# ScTiI2

A geometry-optimized ScTiI2 structure (GGA-PBE, the Alexandria database).

Properties
Offset from the most stable computed form (meV per atom): 105.1
Total magnetic moment (μB per atom): 1.106
Uncorrected formation energy (eV per atom): 0.00
DOS(E_F) (states/eV per cell): 14.98
Final energy (eV per atom): -4.333

abc: 5.2320 5.2320 9.6250
angles: 74.23 74.23 90.00
Closest atoms and distances in Å follow each position.
Fractional positions:
1 Sc 0.2500 0.7500 0.5000  4 I 2.91
2 Sc 0.5000 0.5000 0.0000  4 I 2.91
3 Ti 0.7500 0.2500 0.5000  4 I 2.87
4 Ti 0.0000 0.0000 0.0000  4 I 2.87
5 I 0.1181 0.6250 0.2500  2 Ti 2.87, 2 Sc 2.91
6 I 0.6319 0.1250 0.2500  2 Ti 2.87, 2 Sc 2.91
7 I 0.3750 0.3681 0.7500  2 Ti 2.87, 2 Sc 2.91
8 I 0.8750 0.8819 0.7500  2 Ti 2.87, 2 Sc 2.91

=====

# ZnCoN

A geometry-optimized ZnCoN structure (GGA-PBE, the Alexandria database).

Properties
Offset from the most stable computed form (meV per atom): 0.0
Total magnetic moment (μB per atom): 0.000
Uncorrected formation energy (eV per atom): 0.16
DOS(E_F) (states/eV per cell): 0.69
Final energy (eV per atom): -5.413

abc: 2.7709 2.7709 4.6727
angles: 90.00 90.00 120.00
Closest atoms and distances in Å follow each position.
Fractional positions:
1 N 0.0000 0.0000 0.0479  3 Co 1.87
2 Zn 0.3333 0.6667 0.6951  3 N 2.30
3 Co 0.6667 0.3333 0.2571  3 N 1.87

=====

# Tl5Re3

A geometry-optimized Tl5Re3 structure (GGA-PBE, the Alexandria database).

Properties
Offset from the most stable computed form (meV per atom): 98.0
Total magnetic moment (μB per atom): 0.000
DOS(E_F) (states/eV per cell): 3.17
Final energy (eV per atom): -5.268
Formation enthalpy at 0 K (meV/atom): 879

abc: 7.9315 7.9315 3.0801
angles: 90.00 90.00 95.66
Closest atoms and distances in Å follow each position.
Fractional positions:
1 Re 0.3271 0.6729 0.5000  2 Re 2.55
2 Re 0.6729 0.3271 0.5000  2 Re 2.55
3 Re 0.5000 0.5000 0.0000  4 Re 2.55
4 Tl 0.7347 0.7347 0.5000  4 Re 2.94-3.22, 4 Tl 3.08-3.22
5 Tl 0.2653 0.2653 0.5000  4 Re 2.94-3.22, 4 Tl 3.08-3.22
6 Tl 0.5000 0.0000 0.0000  6 Tl 3.08-3.32, 4 Re 3.21
7 Tl 0.0000 0.5000 0.0000  6 Tl 3.08-3.32, 4 Re 3.21
8 Tl 0.0000 0.0000 0.0000  6 Tl 3.08-3.22

=====

# SrFe2Se

A geometry-optimized SrFe2Se structure (GGA-PBE, the Alexandria database).

Properties
Total magnetic moment (μB per atom): 1.486
Uncorrected formation energy (eV per atom): 0.33
DOS(E_F) (states/eV per cell): 3.28
Final energy (eV per atom): -5.192

abc: 3.5810 3.5805 6.4378
angles: 90.00 90.00 90.00
Closest atoms and distances in Å follow each position.
Fractional positions:
1 Se 0.5000 0.5000 0.2500  8 Fe 2.77
2 Fe 0.0000 0.0000 0.0761  1 Fe 2.24
3 Fe 0.0000 0.0000 0.4239  1 Fe 2.24
4 Sr 0.5000 0.5000 0.7500  2 Se 3.22, 8 Fe 3.29, 4 Sr 3.58

=====

Q: What is the formula in the fifth record?
A: Tl5Re3

=====

Q: What is the formula in the fifth record?
A: Tl5Re3

=====

Please write out number 4 again, unchanged.
# ZnCoN

A geometry-optimized ZnCoN structure (GGA-PBE, the Alexandria database).

Properties
Offset from the most stable computed form (meV per atom): 0.0
Total magnetic moment (μB per atom): 0.000
Uncorrected formation energy (eV per atom): 0.16
DOS(E_F) (states/eV per cell): 0.69
Final energy (eV per atom): -5.413

abc: 2.7709 2.7709 4.6727
angles: 90.00 90.00 120.00
Closest atoms and distances in Å follow each position.
Fractional positions:
1 N 0.0000 0.0000 0.0479  3 Co 1.87
2 Zn 0.3333 0.6667 0.6951  3 N 2.30
3 Co 0.6667 0.3333 0.2571  3 N 1.87

=====

Q: Which value of total magnetic moment does entry 4 give?
A: 0.000 μB per atom